Entry from the Alexandria database: crystalline Ca3TbIn12 at its relaxed geometry (PBE-GGA).

ΔE_f	-343	meV per atom
ρ	6.610	g/cm3
calculated volume	416.2	Å³ per cell

Geometry as CIF:
```
data_Ca3TbIn12
_chemical_formula_sum 'Ca3 Tb1 In12'
_symmetry_space_group_name_H-M 'P 4/m m m'
_symmetry_Int_Tables_number 123
_symmetry_space_group_name_Hall '-P 4 2'
_cell_length_a 4.727
_cell_length_b 4.727
_cell_length_c 18.627
_cell_angle_alpha 90.00
_cell_angle_beta 90.00
_cell_angle_gamma 90.00
loop_
_atom_site_label
_atom_site_fract_x
_atom_site_fract_y
_atom_site_fract_z
Ca1 0.000 0.000 0.000
Ca2 0.000 0.000 0.251
Tb1 0.000 0.000 0.500
In1 0.000 0.500 0.125
In2 0.000 0.500 0.376
In3 0.500 0.500 0.000
In4 0.500 0.500 0.251
In5 0.500 0.500 0.500
```